(1)
First-principles (PBE+U) data for a relaxed PaVF crystal, as listed in the Alexandria database.

Cell and atoms, written as CIF:
```
data_PaVF
_cell_length_a 11.216
_cell_length_b 3.190
_cell_length_c 6.405
_cell_angle_alpha 90.00
_cell_angle_beta 104.46
_cell_angle_gamma 90.00
_space_group_name_H-M_alt 'C 1 2/m 1'
_space_group_IT_number 12
loop_
_space_group_symop_operation_xyz
'x,y,z'
'-x,-y,-z'
'-x,y,-z'
'x,-y,z'
'x+1/2,y+1/2,z'
'-x+1/2,-y+1/2,-z'
'-x+1/2,y+1/2,-z'
'x+1/2,-y+1/2,z'
loop_
_atom_site_label
_atom_site_fract_x
_atom_site_fract_y
_atom_site_fract_z
_atom_site_occupancy
Pa1 0.176 0.000 0.171 1
V1 0.053 0.500 0.788 1
F1 0.130 0.500 0.501 1
```

---

(2)
First-principles (PBE+U) data for a relaxed PaWF6 crystal, as listed in the Alexandria database.

Cell and atoms, written as CIF:
```
data_PaWF6
_cell_length_a 8.863
_cell_length_b 6.639
_cell_length_c 5.546
_cell_angle_alpha 90.00
_cell_angle_beta 125.34
_cell_angle_gamma 90.00
_space_group_name_H-M_alt 'C 1 2/m 1'
_space_group_IT_number 12
loop_
_space_group_symop_operation_xyz
'x,y,z'
'-x,-y,-z'
'-x,y,-z'
'x,-y,z'
'x+1/2,y+1/2,z'
'-x+1/2,-y+1/2,-z'
'-x+1/2,y+1/2,-z'
'x+1/2,-y+1/2,z'
loop_
_atom_site_label
_atom_site_fract_x
_atom_site_fract_y
_atom_site_fract_z
_atom_site_occupancy
Pa1 0.000 0.000 0.000 1
W1 0.000 0.500 0.500 1
F1 0.057 0.249 0.315 1
F2 0.231 0.500 0.964 1
```

---

Asked for density across the records above, the calculation gives 9.01; 6.60 g/cm³ in order.
Asked for E_tot across the records above, the calculation gives -6.91; -6.41 eV/atom in order.